Computed, not measured: crystalline CaMnO2 at its relaxed geometry at the GGA+U level of DFT.

Results
VASP energy (eV per atom): -6.973

The structure in CIF format:
```
data_CaMnO2
_symmetry_space_group_name_H-M 'R 3 m'
_symmetry_Int_Tables_number 160
_symmetry_space_group_name_Hall 'R 3 -2"'
_cell_length_a 3.2424
_cell_length_b 3.2424
_cell_length_c 16.9378
_cell_angle_alpha 90.00
_cell_angle_beta 90.00
_cell_angle_gamma 120.00
loop_
_atom_site_label
_atom_site_fract_x
_atom_site_fract_y
_atom_site_fract_z
Ca1 0.0000 0.0000 0.0000
Mn1 0.0000 0.0000 0.1703
O1 0.0000 0.0000 0.4200
O2 0.0000 0.0000 0.5833
```